# ZnCdOs2, optimized geometry, DFT GGA-PBE
data_ZnCdOs2
_chemical_formula_sum 'Zn1 Cd1 Os2'
_cell_length_a 2.7360
_cell_length_b 4.1766
_cell_length_c 5.6548
_cell_angle_alpha 90.00
_cell_angle_beta 90.00
_cell_angle_gamma 90.00
_symmetry_space_group_name_H-M 'P m m m'
_symmetry_Int_Tables_number 47
loop_
_symmetry_equiv_pos_as_xyz
'x,y,z'
'-x,-y,-z'
'-x,-y,z'
'x,y,-z'
'x,-y,-z'
'-x,y,z'
'-x,y,-z'
'x,-y,z'
loop_
_atom_site_label
_atom_site_type_symbol
_atom_site_fract_x
_atom_site_fract_y
_atom_site_fract_z
Zn1 Zn 0.0000 0.0000 0.0000
Cd1 Cd 0.0000 0.0000 0.5000
Os1 Os 0.5000 0.5000 0.2118
# **Distance to the lowest polymorph of the same formula**: 449 meV per atom

=====

# Zn2CdOs, optimized geometry, DFT GGA-PBE
data_Zn2CdOs
_chemical_formula_sum 'Zn6 Cd3 Os3'
_cell_length_a 2.8154
_cell_length_b 2.8154
_cell_length_c 28.8181
_cell_angle_alpha 90.00
_cell_angle_beta 90.00
_cell_angle_gamma 120.00
_symmetry_space_group_name_H-M 'R -3 m'
_symmetry_Int_Tables_number 166
_symmetry_space_group_name_Hall '-R 3 2"'
loop_
_atom_site_label
_atom_site_type_symbol
_atom_site_fract_x
_atom_site_fract_y
_atom_site_fract_z
Zn1 Zn 0.0000 0.0000 0.2401
Cd1 Cd 0.0000 0.0000 0.0000
Os1 Os 0.0000 0.0000 0.5000
# **Total DFT energy (no corrections)**: -3.443 eV/atom

=====

# ZnCdOs2, optimized geometry, DFT GGA-PBE
data_ZnCdOs2
_chemical_formula_sum 'Zn4 Cd4 Os8'
_cell_length_a 7.5617
_cell_length_b 7.5617
_cell_length_c 4.8714
_cell_angle_alpha 90.00
_cell_angle_beta 90.00
_cell_angle_gamma 90.00
_symmetry_space_group_name_H-M 'I -4 2 d'
_symmetry_Int_Tables_number 122
_symmetry_space_group_name_Hall 'I -4 2bw'
loop_
_atom_site_label
_atom_site_type_symbol
_atom_site_fract_x
_atom_site_fract_y
_atom_site_fract_z
Zn1 Zn 0.0000 0.0000 0.0000
Cd1 Cd 0.0000 0.0000 0.5000
Os1 Os 0.1967 0.7500 0.1250
# **Distance to the lowest polymorph of the same formula**: 853 meV per atom

=====

# Zn2CdOs, optimized geometry, DFT GGA-PBE
data_Zn2CdOs
_chemical_formula_sum 'Zn2 Cd1 Os1'
_cell_length_a 2.7248
_cell_length_b 4.1388
_cell_length_c 5.6732
_cell_angle_alpha 90.00
_cell_angle_beta 90.00
_cell_angle_gamma 90.00
_symmetry_space_group_name_H-M 'P m m 2'
_symmetry_Int_Tables_number 25
loop_
_symmetry_equiv_pos_as_xyz
'x,y,z'
'-x,-y,z'
'-x,y,z'
'x,-y,z'
loop_
_atom_site_label
_atom_site_type_symbol
_atom_site_fract_x
_atom_site_fract_y
_atom_site_fract_z
Zn1 Zn 0.0000 0.0000 0.0000
Zn2 Zn 0.5000 0.5000 0.2628
Cd1 Cd 0.0000 0.0000 0.5176
Os1 Os 0.5000 0.5000 0.8010
# **Total DFT energy (no corrections)**: -3.352 eV/atom

=====

# ZnCdOs2, optimized geometry, DFT GGA-PBE
data_ZnCdOs2
_chemical_formula_sum 'Zn2 Cd2 Os4'
_cell_length_a 2.8409
_cell_length_b 4.7064
_cell_length_c 9.3703
_cell_angle_alpha 90.00
_cell_angle_beta 90.00
_cell_angle_gamma 90.00
_symmetry_space_group_name_H-M 'C m m m'
_symmetry_Int_Tables_number 65
_symmetry_space_group_name_Hall '-C 2 2'
loop_
_atom_site_label
_atom_site_type_symbol
_atom_site_fract_x
_atom_site_fract_y
_atom_site_fract_z
Zn1 Zn 0.0000 0.0000 0.0000
Cd1 Cd 0.0000 0.0000 0.5000
Os1 Os 0.0000 0.5000 0.2336
# **Distance to the lowest polymorph of the same formula**: 363 meV per atom

=====

# Zn2Cd2Os, optimized geometry, DFT GGA-PBE
data_Zn2Cd2Os
_chemical_formula_sum 'Zn4 Cd4 Os2'
_cell_length_a 3.4101
_cell_length_b 3.4101
_cell_length_c 15.6637
_cell_angle_alpha 90.00
_cell_angle_beta 90.00
_cell_angle_gamma 90.00
_symmetry_space_group_name_H-M 'I 4/m m m'
_symmetry_Int_Tables_number 139
_symmetry_space_group_name_Hall '-I 4 2'
loop_
_atom_site_label
_atom_site_type_symbol
_atom_site_fract_x
_atom_site_fract_y
_atom_site_fract_z
Zn1 Zn 0.0000 0.5000 0.2500
Cd1 Cd 0.0000 0.0000 0.0963
Os1 Os 0.0000 0.0000 0.5000
# **Distance to the lowest polymorph of the same formula**: 0 meV per atom

=====

# ZnCdOs2, optimized geometry, DFT GGA-PBE
data_ZnCdOs2
_chemical_formula_sum 'Zn4 Cd4 Os8'
_cell_length_a 6.2826
_cell_length_b 6.2826
_cell_length_c 6.2826
_cell_angle_alpha 90.00
_cell_angle_beta 90.00
_cell_angle_gamma 90.00
_symmetry_space_group_name_H-M 'F m -3 m'
_symmetry_Int_Tables_number 225
_symmetry_space_group_name_Hall '-F 4 2 3'
loop_
_atom_site_label
_atom_site_type_symbol
_atom_site_fract_x
_atom_site_fract_y
_atom_site_fract_z
Zn1 Zn 0.0000 0.0000 0.0000
Cd1 Cd 0.0000 0.0000 0.5000
Os1 Os 0.2500 0.2500 0.2500
# **Distance to the lowest polymorph of the same formula**: 676 meV per atom

=====

# ZnCdOs2, optimized geometry, DFT GGA-PBE
data_ZnCdOs2
_chemical_formula_sum 'Zn1 Cd1 Os2'
_cell_length_a 2.8655
_cell_length_b 4.6346
_cell_length_c 4.7155
_cell_angle_alpha 90.00
_cell_angle_beta 90.00
_cell_angle_gamma 90.00
_symmetry_space_group_name_H-M 'P m m m'
_symmetry_Int_Tables_number 47
loop_
_symmetry_equiv_pos_as_xyz
'x,y,z'
'-x,-y,-z'
'-x,-y,z'
'x,y,-z'
'x,-y,-z'
'-x,y,z'
'-x,y,-z'
'x,-y,z'
loop_
_atom_site_label
_atom_site_type_symbol
_atom_site_fract_x
_atom_site_fract_y
_atom_site_fract_z
Zn1 Zn 0.0000 0.0000 0.0000
Cd1 Cd 0.5000 0.5000 0.0000
Os1 Os 0.0000 0.5000 0.5000
Os2 Os 0.5000 0.0000 0.5000
# **Distance to the lowest polymorph of the same formula**: 389 meV per atom

=====

# Zn2Cd2Os, optimized geometry, DFT GGA-PBE
data_Zn2Cd2Os
_chemical_formula_sum 'Zn4 Cd4 Os2'
_cell_length_a 7.5678
_cell_length_b 7.5678
_cell_length_c 2.9949
_cell_angle_alpha 90.00
_cell_angle_beta 90.00
_cell_angle_gamma 90.00
_symmetry_space_group_name_H-M 'P 4/m b m'
_symmetry_Int_Tables_number 127
_symmetry_space_group_name_Hall '-P 4 2ab'
loop_
_atom_site_label
_atom_site_type_symbol
_atom_site_fract_x
_atom_site_fract_y
_atom_site_fract_z
Zn1 Zn 0.1696 0.3304 0.0000
Cd1 Cd 0.1338 0.6338 0.5000
Os1 Os 0.0000 0.0000 0.5000
# **Distance to the lowest polymorph of the same formula**: 28 meV per atom

=====

# ZnCdOs2, optimized geometry, DFT GGA-PBE
data_ZnCdOs2
_chemical_formula_sum 'Zn2 Cd2 Os4'
_cell_length_a 4.1908
_cell_length_b 4.1908
_cell_length_c 7.0587
_cell_angle_alpha 90.00
_cell_angle_beta 90.00
_cell_angle_gamma 90.00
_symmetry_space_group_name_H-M 'I -4 m 2'
_symmetry_Int_Tables_number 119
_symmetry_space_group_name_Hall 'I -4 -2'
loop_
_atom_site_label
_atom_site_type_symbol
_atom_site_fract_x
_atom_site_fract_y
_atom_site_fract_z
Zn1 Zn 0.0000 0.0000 0.0000
Cd1 Cd 0.0000 0.5000 0.7500
Os1 Os 0.0000 0.0000 0.5000
Os2 Os 0.0000 0.5000 0.2500
# **Distance to the lowest polymorph of the same formula**: 396 meV per atom

=====

# ZnCdOs2, optimized geometry, DFT GGA-PBE
data_ZnCdOs2
_chemical_formula_sum 'Zn2 Cd2 Os4'
_cell_length_a 8.9323
_cell_length_b 2.8358
_cell_length_c 5.0388
_cell_angle_alpha 90.00
_cell_angle_beta 98.04
_cell_angle_gamma 90.00
_symmetry_space_group_name_H-M 'C 1 m 1'
_symmetry_Int_Tables_number 8
loop_
_symmetry_equiv_pos_as_xyz
'x,y,z'
'x,-y,z'
'x+1/2,y+1/2,z'
'x+1/2,-y+1/2,z'
loop_
_atom_site_label
_atom_site_type_symbol
_atom_site_fract_x
_atom_site_fract_y
_atom_site_fract_z
Zn1 Zn 0.0000 0.0000 0.0000
Cd1 Cd 0.2428 0.0000 0.7719
Os1 Os 0.2473 0.5000 0.2785
Os2 Os 0.4874 0.0000 0.4545
# **Distance to the lowest polymorph of the same formula**: 281 meV per atom

=====

# ZnCdOs2, optimized geometry, DFT GGA-PBE
data_ZnCdOs2
_chemical_formula_sum 'Zn1 Cd1 Os2'
_cell_length_a 2.8203
_cell_length_b 3.5943
_cell_length_c 6.3263
_cell_angle_alpha 90.00
_cell_angle_beta 90.00
_cell_angle_gamma 90.00
_symmetry_space_group_name_H-M 'P m m 2'
_symmetry_Int_Tables_number 25
loop_
_symmetry_equiv_pos_as_xyz
'x,y,z'
'-x,-y,z'
'-x,y,z'
'x,-y,z'
loop_
_atom_site_label
_atom_site_type_symbol
_atom_site_fract_x
_atom_site_fract_y
_atom_site_fract_z
Zn1 Zn 0.0000 0.0000 0.0000
Cd1 Cd 0.5000 0.5000 0.2708
Os1 Os 0.0000 0.0000 0.5659
Os2 Os 0.5000 0.5000 0.7630
# **Distance to the lowest polymorph of the same formula**: 152 meV per atom

=====

# Zn2CdOs, optimized geometry, DFT GGA-PBE
data_Zn2CdOs
_chemical_formula_sum 'Zn4 Cd2 Os2'
_cell_length_a 9.6608
_cell_length_b 2.7335
_cell_length_c 4.8540
_cell_angle_alpha 90.00
_cell_angle_beta 98.62
_cell_angle_gamma 90.00
_symmetry_space_group_name_H-M 'C 1 m 1'
_symmetry_Int_Tables_number 8
loop_
_symmetry_equiv_pos_as_xyz
'x,y,z'
'x,-y,z'
'x+1/2,y+1/2,z'
'x+1/2,-y+1/2,z'
loop_
_atom_site_label
_atom_site_type_symbol
_atom_site_fract_x
_atom_site_fract_y
_atom_site_fract_z
Zn1 Zn 0.0000 0.0000 0.0000
Zn2 Zn 0.2440 0.0000 0.7354
Cd1 Cd 0.4841 0.0000 0.4912
Os1 Os 0.2343 0.5000 0.2191
# **Total DFT energy (no corrections)**: -3.375 eV/atom

=====

| no. | magnetic moment (μB/f.u.) |
| --- | --- |
| 1 | 0.00 |
| 2 | 0.00 |
| 3 | 0.00 |
| 4 | 0.00 |
| 5 | 0.05 |
| 6 | 0.00 |
| 7 | 1.75 |
| 8 | 0.00 |
| 9 | 1.11 |
| 10 | 0.00 |
| 11 | 0.00 |
| 12 | 0.00 |
| 13 | 0.00 |